Record 1
! As4Ir, relaxed, DFT PBE; values from VASP
! - M_tot: 0.0 μB per cell
! - Energy above the lowest structure with this stoichiometry: 80 meV/atom
! - N(E_F): 0.461 states/eV per atom
! - Energy relative to the elements: 0.11 eV per atom
&SYSTEM
  ibrav = 0, nat = 5, ntyp = 2
/
ATOMIC_SPECIES
As 74.92 As.upf
Ir 192.22 Ir.upf
ATOMIC_POSITIONS angstrom
As 1.7394 0.4754 1.8846
As 4.3978 2.1830 0.0000
As 2.1830 3.4470 0.0000
Ir 0.0000 0.0000 0.0000
As -0.4754 1.7394 1.8846
CELL_PARAMETERS angstrom
-3.9224 3.9224 1.8846
3.9224 -3.9224 1.8846
3.9224 3.9224 -1.8846

***

Record 2
! LaBiSb2, relaxed, DFT PBE; values from VASP
! - M_tot: 0.0 μB per cell
! - Formation energy without anion corrections: -595 meV per atom
! - N(E_F): 0.616 states/eV per atom
&SYSTEM
  ibrav = 0, nat = 8, ntyp = 3
/
ATOMIC_SPECIES
La 138.91 La.upf
Bi 208.98 Bi.upf
Sb 121.76 Sb.upf
ATOMIC_POSITIONS angstrom
La -8.3039 -1.7348 -1.1679
Bi 0.0000 0.0000 0.0000
La -2.3075 -2.9538 -0.7677
Sb -5.3080 -1.8462 0.5845
Bi 0.0047 -0.9962 -3.1045
Sb -3.1217 0.0676 -1.7385
Sb -5.3034 -2.8424 -2.5200
Sb -7.4897 -4.7562 -0.1971
CELL_PARAMETERS angstrom
-1.1127 1.9197 -4.0419
1.1221 -3.9122 -2.1671
-10.6161 -3.6924 1.1689

***

Record 3
! Dy2Th5C4, relaxed, DFT PBE; values from VASP
! - M_tot: 0.0 μB per cell
! - N(E_F): 0.794 states/eV per atom
! - Energy relative to the elements: 0.04 eV per atom
&SYSTEM
  ibrav = 0, nat = 11, ntyp = 3
/
ATOMIC_SPECIES
C 12.01 C.upf
Th 232.04 Th.upf
Dy 162.50 Dy.upf
ATOMIC_POSITIONS angstrom
C 3.6324 2.8326 8.3471
C 2.2848 4.8725 2.0584
Th 1.7627 0.0000 -0.3777
Th 0.2461 6.2767 1.1482
Dy 1.8708 3.2856 0.1265
Th 0.7574 3.5397 3.5341
C -0.2174 7.2903 -1.0143
Dy 1.5443 6.8373 7.2062
C 1.1303 5.2503 5.2743
Th 3.1690 3.8461 6.1846
Th 2.6577 6.5831 3.7986
CELL_PARAMETERS angstrom
3.5254 0.0000 -0.7555
-0.2730 9.0458 -1.2739
0.1626 1.0771 9.3622

***

Record 4
! Al12Zn4Ag3, relaxed, DFT PBE; values from VASP
! - M_tot: 0.0 μB per cell
! - N(E_F): 0.451 states/eV per atom
! - Energy relative to the elements: 0.21 eV per atom
&SYSTEM
  ibrav = 0, nat = 19, ntyp = 3
/
ATOMIC_SPECIES
Zn 65.41 Zn.upf
Al 26.98 Al.upf
Ag 107.87 Ag.upf
ATOMIC_POSITIONS angstrom
Zn -2.5559 0.6954 -3.1887
Al -6.1720 2.2067 -1.0508
Al -4.0487 0.4606 -1.0701
Al -1.5854 -4.1281 3.2570
Zn -0.1817 -4.0009 1.0695
Al -3.7087 -2.3820 3.2763
Al -4.2066 -5.1097 -0.5121
Ag -3.6970 3.0402 0.0336
Ag -2.7376 -3.3055 -2.1193
Zn -1.1411 2.3448 3.2224
Al -4.9058 -2.3105 -0.8706
Al -3.6113 -0.5620 5.5416
Al -4.1461 -1.3594 -3.3354
Al -5.1230 1.2899 1.5012
Ag -1.3228 -1.6561 4.2918
Al -2.8516 0.3891 3.0768
Zn -3.8787 -0.9607 1.1031
Al -3.5508 3.1883 2.7183
Al -2.6344 -3.2113 0.7050
CELL_PARAMETERS angstrom
-5.1118 1.3907 -6.3774
-0.3633 -8.0018 2.1389
-2.2823 4.6897 6.4447

***

Record 5
! RbTi3O, relaxed, DFT PBE; values from VASP
! - M_tot: 2.3 μB per cell
! - Formation energy without anion corrections: 2484 meV per atom
! - Energy above the lowest structure with this stoichiometry: 2352 meV/atom
! - N(E_F): 0.967 states/eV per atom
&SYSTEM
  ibrav = 0, nat = 5, ntyp = 3
/
ATOMIC_SPECIES
Rb 85.47 Rb.upf
O 16.00 O.upf
Ti 47.87 Ti.upf
ATOMIC_POSITIONS angstrom
Rb 0.0000 0.0000 0.0000
O 2.3389 2.3389 2.3389
Ti 0.0000 0.0000 2.3389
Ti 0.0000 2.3389 0.0000
Ti 2.3389 0.0000 0.0000
CELL_PARAMETERS angstrom
4.6778 0.0000 0.0000
0.0000 4.6778 0.0000
0.0000 0.0000 4.6778

***

Record 6
! Sm3HoSc2S6, relaxed, DFT PBE; values from VASP
! - M_tot: 0.0 μB per cell
! - Formation energy without anion corrections: -1952 meV per atom
! - N(E_F): 0.447 states/eV per atom
&SYSTEM
  ibrav = 0, nat = 12, ntyp = 4
/
ATOMIC_SPECIES
S 32.06 S.upf
Sc 44.96 Sc.upf
Sm 150.36 Sm.upf
Ho 164.93 Ho.upf
ATOMIC_POSITIONS angstrom
S -1.1469 1.9766 1.4762
Sc -0.0032 3.8562 -0.0023
S 3.3697 1.8722 4.9462
S 2.2852 -0.0056 1.4762
Sm 4.4904 -0.0272 3.2112
Sc 3.3417 1.9244 -0.0023
S 0.0264 0.0458 4.9676
Ho 0.0000 0.0000 0.0000
Sm -2.2676 3.8759 3.2112
S -0.0624 3.8543 4.9462
S 2.1964 3.8030 1.4547
Sm 1.1114 1.9244 3.2112
CELL_PARAMETERS angstrom
6.6932 -0.0112 -0.0023
-3.3547 5.7919 -0.0023
-1.1157 -1.9319 6.4268